a | # Hf3VO | Alexandria via LeMat-Bulk | GGA+U | optimized geometry
# - Calculated volume: 87.1 Å³ per cell
# - Density of states at the Fermi level: 0.5838 states/eV per atom
data_Hf3VO
_chemical_formula_sum 'Hf3 V1 O1'
_cell_length_a 4.433
_cell_length_b 4.433
_cell_length_c 4.433
_cell_angle_alpha 90.00
_cell_angle_beta 90.00
_cell_angle_gamma 90.00
_symmetry_space_group_name_H-M 'P m -3 m'
_symmetry_Int_Tables_number 221
_symmetry_space_group_name_Hall '-P 4 2 3'
loop_
_atom_site_label
_atom_site_type_symbol
_atom_site_fract_x
_atom_site_fract_y
_atom_site_fract_z
_atom_site_occupancy
Hf1 Hf 0.000 0.000 0.500 1
V1 V 0.500 0.500 0.500 1
O1 O 0.000 0.000 0.000 1

b | # Hf3VO | Alexandria via LeMat-Bulk | GGA+U | optimized geometry
# - Calculated volume: 116.1 Å³ per cell
# - Density of states at the Fermi level: 0.9639 states/eV per atom
data_Hf3VO
_chemical_formula_sum 'Hf3 V1 O1'
_cell_length_a 4.879
_cell_length_b 4.879
_cell_length_c 4.879
_cell_angle_alpha 90.00
_cell_angle_beta 90.00
_cell_angle_gamma 90.00
_symmetry_space_group_name_H-M 'P m -3 m'
_symmetry_Int_Tables_number 221
_symmetry_space_group_name_Hall '-P 4 2 3'
loop_
_atom_site_label
_atom_site_type_symbol
_atom_site_fract_x
_atom_site_fract_y
_atom_site_fract_z
_atom_site_occupancy
Hf1 Hf 0.000 0.000 0.500 1
V1 V 0.000 0.000 0.000 1
O1 O 0.500 0.500 0.500 1

Consider the structures shown above. The least stable of them is b.